Entry from Alexandria via LeMat-Bulk: a geometry-optimized LiTl2Sb3 structure (PBE).

Lattice parameters (Å, degrees): 6.1641 8.9408 8.2005 123.03 90.00 90.00
Fractional coordinates of all 12 atoms:
1 Li 0.2500 0.2329 0.0000
2 Li 0.7500 0.7671 0.0000
3 Tl 0.7500 0.5060 0.3587
4 Tl 0.2500 0.4940 0.6413
5 Tl 0.2500 0.8526 0.3587
6 Tl 0.7500 0.1474 0.6413
7 Sb 0.0000 0.1079 0.2157
8 Sb 0.5000 0.8921 0.7843
9 Sb 0.0000 0.5000 0.0000
10 Sb 0.5000 0.5000 0.0000
11 Sb 0.0000 0.8921 0.7843
12 Sb 0.5000 0.1079 0.2157

Values from the calculation:
Uncorrected energy, eV per atom: -3.247